[1]
Computed, not measured: an optimized crystal structure of BaSb2PbI at the GGA-PBE level of DFT.

Properties
- Space-group type: P4/mmm (123)
- Energy relative to the elements, uncorrected: -0.175 eV/atom
- Magnetic moment: 0.00 Bohr magnetons per cell
- Excess energy over the best structure of this formula in the dataset: 0.0000 eV per atom
- Mass density: 5.534 g/cm³

Cell: 5.8031 5.8031 6.3702 Å, 90.00 90.00 90.00°
With the nearest neighbours (Å) after each atom.
Atoms (fractional coordinates):
Ba 0.0000 0.0000 0.0000  4 I 4.10, 8 Sb 4.31
Sb 0.0000 0.5000 0.5000  2 Pb 2.90
Sb 0.5000 0.0000 0.5000  2 Pb 2.90
Pb 0.5000 0.5000 0.5000  4 Sb 2.90, 2 I 3.19
I 0.5000 0.5000 0.0000  2 Pb 3.19



[2]
Computed, not measured: an optimized crystal structure of KPb3 at the GGA-PBE level of DFT.

Properties
- Space-group type: Imm2 (44)
- Magnetic moment: 0.00 Bohr magnetons per cell
- Formation energy: -0.031 eV per atom
- Mass density: 8.191 g/cm³

Cell: 6.9629 6.9629 6.9629 Å, 150.49 63.09 125.62°
With the nearest neighbours (Å) after each atom.
Atoms (fractional coordinates):
K 0.0000 0.0000 0.0000  2 K 3.55, 10 Pb 3.56-3.75
Pb 0.4066 0.6386 0.7680  8 Pb 3.42-3.67, 3 K 3.59-3.75
Pb 0.4854 0.9854 0.5000  6 Pb 3.42-3.55, 4 K 3.56-3.72
Pb 0.8706 0.6386 0.2320  8 Pb 3.42-3.67, 3 K 3.59-3.75